Density functional theory data (PBE) for a relaxed structure of PmDy2Er5Sc.

- ρ: 8.0 g/cm3
- E: -4.618 eV/atom
- Symmetry: No. 36
- DOS(E_F): 14.1 states/eV/f.u.

Structure (POSCAR):
```
PmDy2Er5Sc
1.0
2.765 -9.796 0.000
2.765 9.796 0.000
0.000 0.000 10.334
Pm Dy Er Sc
2 4 10 2
Cartesian
2.765 8.095 5.167
2.765 -8.095 0.000
2.765 2.226 8.068
2.765 2.182 3.727
2.765 -2.182 8.894
2.765 -2.226 2.901
2.765 9.417 8.105
2.765 7.393 0.685
2.765 5.844 7.766
2.765 5.428 3.796
2.765 0.364 0.683
2.765 -0.364 5.850
2.765 -5.428 8.962
2.765 -5.844 2.599
2.765 -7.393 5.852
2.765 -9.417 2.938
2.765 3.852 0.621
2.765 -3.852 5.788
```

Density functional theory data (PBE) for a relaxed structure of ThReSi.

- ρ: 11.7 g/cm3
- ΔE_f (raw): -0.32 eV per atom
- E: -8.752 eV/atom
- Symmetry: No. 187
- DOS(E_F): 2.3 states/eV/f.u.

Structure (POSCAR):
```
ThReSi
1.0
4.272 0.000 0.000
-2.136 3.700 0.000
0.000 0.000 4.015
Th Re Si
1 1 1
Cartesian
0.000 0.000 0.000
2.136 1.233 2.008
0.000 2.467 2.008
```

Density functional theory data (PBE) for a relaxed structure of K2NaGdCl6.

- ρ: 2.5 g/cm3
- ΔE_f (raw): -2.05 eV per atom
- E: -4.920 eV/atom
- Symmetry: No. 225
- DOS(E_F): 0.0 states/eV/f.u.

Structure (POSCAR):
```
K2NaGdCl6
1.0
0.000 5.386 5.386
5.386 0.000 5.386
5.386 5.386 0.000
K Na Gd Cl
2 1 1 6
Cartesian
2.693 2.693 2.693
8.079 8.079 8.079
0.000 0.000 0.000
5.386 5.386 5.386
5.386 5.386 2.729
5.386 2.729 5.386
8.042 5.386 5.386
2.729 5.386 5.386
5.386 8.042 5.386
5.386 5.386 8.042
```

Density functional theory data (PBE) for a relaxed structure of Ac3Tl2.

- ρ: 9.0 g/cm3
- E: -3.616 eV/atom
- Symmetry: No. 62
- DOS(E_F): 5.6 states/eV/f.u.

Structure (POSCAR):
```
Ac3Tl2
1.0
13.316 0.000 0.000
0.000 5.158 0.000
0.000 0.000 11.669
Ac Tl
12 8
Cartesian
0.800 1.290 1.342
1.461 3.869 6.565
2.937 1.290 9.381
3.720 3.869 3.546
5.197 1.290 0.730
5.858 3.869 7.177
7.457 1.290 4.492
8.119 3.869 10.939
9.595 1.290 8.123
10.378 3.869 2.289
11.855 1.290 5.104
12.516 3.869 10.327
0.212 3.869 3.395
2.807 3.869 0.088
3.851 1.290 5.923
6.446 1.290 9.230
6.870 3.869 2.439
9.464 3.869 5.746
10.509 1.290 11.581
13.104 1.290 8.274
```